## w
A relaxed structure of YTaRh. Source: the Alexandria database, functional PBE-GGA. Values from VASP.

The structure in Quantum ESPRESSO input format:
```
&SYSTEM
  ibrav = 0, nat = 3, ntyp = 3
/
ATOMIC_SPECIES
Y 88.91 Y.upf
Ta 180.95 Ta.upf
Rh 102.91 Rh.upf
ATOMIC_POSITIONS crystal
Y 0.000 0.000 0.000
Ta 0.695 0.695 0.000
Rh 0.314 0.314 0.000
CELL_PARAMETERS angstrom
-1.626 1.626 5.723
1.626 -1.626 5.723
1.626 1.626 -5.723
```

## Properties
density = 10.23 g/cm³
SG = I4mm
Fermi-level density of states = 1.03 states/eV/atom

=====

## x
A relaxed structure of YTaRh. Source: the Alexandria database, functional PBE-GGA. Values from VASP.

The structure in Quantum ESPRESSO input format:
```
&SYSTEM
  ibrav = 0, nat = 3, ntyp = 3
/
ATOMIC_SPECIES
Y 88.91 Y.upf
Ta 180.95 Ta.upf
Rh 102.91 Rh.upf
ATOMIC_POSITIONS crystal
Y 0.000 0.000 0.000
Ta 0.250 0.250 0.250
Rh 0.750 0.750 0.750
CELL_PARAMETERS angstrom
0.000 3.228 3.228
3.228 0.000 3.228
3.228 3.228 0.000
```

## Properties
density = 9.20 g/cm³
SG = F-43m
Fermi-level density of states = 1.51 states/eV/atom

=====

Sorted by energy, starting with the most stable: w, x.

=====

## w
A relaxed structure of YTa2Rh. Source: the Alexandria database, functional PBE-GGA. Values from VASP.

The structure in Quantum ESPRESSO input format:
```
&SYSTEM
  ibrav = 0, nat = 4, ntyp = 3
/
ATOMIC_SPECIES
Y 88.91 Y.upf
Ta 180.95 Ta.upf
Rh 102.91 Rh.upf
ATOMIC_POSITIONS crystal
Y 0.000 0.000 0.000
Ta 0.500 0.500 0.254
Ta 0.500 0.500 0.746
Rh 0.000 0.000 0.500
CELL_PARAMETERS angstrom
2.966 0.000 0.000
0.000 4.789 0.000
0.000 0.000 5.472
```

## Properties
density = 11.83 g/cm³
SG = Pmmm
Fermi-level density of states = 1.18 states/eV/atom

=====

## x
A relaxed structure of YTa2Rh. Source: the Alexandria database, functional PBE-GGA. Values from VASP.

The structure in Quantum ESPRESSO input format:
```
&SYSTEM
  ibrav = 0, nat = 4, ntyp = 3
/
ATOMIC_SPECIES
Y 88.91 Y.upf
Ta 180.95 Ta.upf
Rh 102.91 Rh.upf
ATOMIC_POSITIONS crystal
Y 0.000 0.000 0.000
Ta 0.000 0.500 0.500
Ta 0.500 0.000 0.500
Rh 0.500 0.500 0.000
CELL_PARAMETERS angstrom
2.735 -4.950 0.000
2.735 4.950 0.000
-0.962 0.000 2.807
```

## Properties
density = 12.10 g/cm³
SG = C2/m
Fermi-level density of states = 1.03 states/eV/atom

=====

## y
A relaxed structure of YTa2Rh. Source: the Alexandria database, functional PBE-GGA. Values from VASP.

The structure in Quantum ESPRESSO input format:
```
&SYSTEM
  ibrav = 0, nat = 4, ntyp = 3
/
ATOMIC_SPECIES
Y 88.91 Y.upf
Ta 180.95 Ta.upf
Rh 102.91 Rh.upf
ATOMIC_POSITIONS crystal
Y 0.000 0.000 0.000
Ta 0.250 0.250 0.250
Ta 0.750 0.750 0.750
Rh 0.500 0.500 0.500
CELL_PARAMETERS angstrom
0.000 3.326 3.326
3.326 0.000 3.326
3.326 3.326 0.000
```

## Properties
density = 12.49 g/cm³
SG = Fm-3m
Fermi-level density of states = 1.55 states/eV/atom

=====

Sorted by energy, starting with the most stable: x, w, y.

=====

## w
A relaxed structure of Y3TaRh. Source: the Alexandria database, functional PBE-GGA. Values from VASP.

The structure in Quantum ESPRESSO input format:
```
&SYSTEM
  ibrav = 0, nat = 5, ntyp = 3
/
ATOMIC_SPECIES
Y 88.91 Y.upf
Ta 180.95 Ta.upf
Rh 102.91 Rh.upf
ATOMIC_POSITIONS crystal
Y 0.000 0.000 0.500
Y 0.000 0.500 0.000
Y 0.500 0.000 0.000
Ta 0.000 0.000 0.000
Rh 0.500 0.500 0.500
CELL_PARAMETERS angstrom
5.314 0.000 0.000
0.000 5.314 0.000
0.000 0.000 5.314
```

## Properties
density = 6.09 g/cm³
SG = Pm-3m
Fermi-level density of states = 0.75 states/eV/atom

=====

## x
A relaxed structure of Y3TaRh. Source: the Alexandria database, functional PBE-GGA. Values from VASP.

The structure in Quantum ESPRESSO input format:
```
&SYSTEM
  ibrav = 0, nat = 5, ntyp = 3
/
ATOMIC_SPECIES
Y 88.91 Y.upf
Ta 180.95 Ta.upf
Rh 102.91 Rh.upf
ATOMIC_POSITIONS crystal
Y 0.000 0.000 0.500
Y 0.000 0.500 0.000
Y 0.500 0.000 0.000
Ta 0.500 0.500 0.500
Rh 0.000 0.000 0.000
CELL_PARAMETERS angstrom
5.276 0.000 0.000
0.000 5.276 0.000
0.000 0.000 5.276
```

## Properties
density = 6.22 g/cm³
SG = Pm-3m
Fermi-level density of states = 1.09 states/eV/atom

=====

Sorted by energy, starting with the most stable: x, w.